{"formula": "SrCaW2F", "functional": "PBE+U", "state": "relaxed", "cell": [[-1.6576, -5.1919, 3.3272], [-0.7871, -2.1661, -3.7721], [6.0608, -2.0069, -0.1121]], "species": ["Sr", "Ca", "W", "W", "F"], "frac_coords": [[0.0000, 0.0000, 0.0000], [0.5000, 0.5000, 0.5000], [0.0000, 0.0000, 0.5000], [0.5000, 0.0000, 0.0000], [0.0000, 0.5000, 0.0000]], "dft_energy_ev_per_atom": -3.45, "n_ef_per_ev_fu": 2.345, "spacegroup": "No. 123"}